Record 1
A plane-wave DFT calculation with PBE was carried out for an optimized crystal structure of ZnAuIO2.

space-group type = P4/mmm, No. 123
energy relative to the elements, uncorrected = 0.3123 eV per atom
polymorph energy (0 for the lowest one) = 239.1 meV/atom

Cell: 3.996 3.996 7.387 Å, 90.00 90.00 90.00°
Fractional positions:
Zn  0.000  0.000  0.000
Au  0.500  0.500  0.500
I  0.500  0.500  0.000
O  0.000  0.500  0.500
O  0.500  0.000  0.500

---

Record 2
A plane-wave DFT calculation with PBE was carried out for an optimized crystal structure of NaGaSn2Pb.

space-group type = P4/mmm, No. 123
raw total energy = -2.66 eV per atom

Cell: 5.819 5.819 5.708 Å, 90.00 90.00 90.00°
Fractional positions:
Na  0.000  0.000  0.000
Ga  0.500  0.500  0.000
Sn  0.000  0.500  0.500
Sn  0.500  0.000  0.500
Pb  0.000  0.000  0.500

---

Record 3
A plane-wave DFT calculation with PBE was carried out for an optimized crystal structure of Dy2MnAl2Co5.

space-group type = P4/mbm, No. 127
raw total energy = -6.26 eV per atom

Cell: 9.593 9.593 3.242 Å, 90.00 90.00 90.00°
Fractional positions:
Dy  0.175  0.325  0.000
Dy  0.325  0.825  0.000
Dy  0.675  0.175  0.000
Dy  0.825  0.675  0.000
Mn  0.000  0.000  0.000
Mn  0.500  0.500  0.000
Al  0.124  0.624  0.000
Al  0.376  0.124  0.000
Al  0.624  0.876  0.000
Al  0.876  0.376  0.000
Co  0.000  0.500  0.500
Co  0.059  0.801  0.500
Co  0.199  0.059  0.500
Co  0.301  0.559  0.500
Co  0.441  0.301  0.500
Co  0.500  0.000  0.500
Co  0.559  0.699  0.500
Co  0.699  0.441  0.500
Co  0.801  0.941  0.500
Co  0.941  0.199  0.500

---

Record 4
A plane-wave DFT calculation with PBE was carried out for an optimized crystal structure of Np2Tl3CoS6.

space-group type = C2/m, No. 12
energy relative to the elements, uncorrected = -0.7433 eV per atom

Cell: 6.594 6.594 7.945 Å, 98.02 98.02 119.84°
Fractional positions:
Np  0.166  0.834  0.000
Np  0.834  0.166  0.000
Tl  0.000  0.000  0.500
Tl  0.327  0.673  0.500
Tl  0.673  0.327  0.500
Co  0.500  0.500  0.000
S  0.126  0.438  0.814
S  0.249  0.249  0.193
S  0.438  0.126  0.814
S  0.562  0.874  0.186
S  0.751  0.751  0.807
S  0.874  0.562  0.186